MgRhBr2: relaxed, PBE.

Geometry as POSCAR:
```
MgRhBr2
1.0
4.9103 0.0000 0.0000
0.0000 4.1570 -0.0037
0.0000 1.2729 4.4372
Br Mg Rh
2 1 1
Direct
0.0000 0.9265 0.9388
0.5000 0.3032 0.3580
0.0000 0.5662 0.5281
0.5000 0.7041 0.6751
```

Calculated values
ΔE to the lowest computed polymorph	147.8	meV per atom

MgRh2Br: relaxed, PBE.

Geometry as POSCAR:
```
MgRh2Br
1.0
3.8604 0.0000 0.0000
0.0000 3.8604 0.0000
1.9302 1.9302 9.5578
Mg Rh Br
2 4 2
Direct
0.5000 0.5000 0.0000
0.2500 0.7500 0.5000
0.6080 0.1250 0.2500
0.1420 0.6250 0.2500
0.3750 0.3920 0.7500
0.8750 0.8580 0.7500
0.0000 0.0000 0.0000
0.7500 0.2500 0.5000
```

Calculated values
ΔE to the lowest computed polymorph	282.1	meV per atom

MgRhBr2: relaxed, PBE.

Geometry as POSCAR:
```
MgRhBr2
1.0
-3.0622 2.1962 6.4289
-6.0917 1.0112 4.1714
-0.3293 -3.2270 2.1357
Br Mg Rh
2 1 1
Direct
0.8833 0.8833 0.1106
0.6167 0.6167 0.3894
0.2500 0.2500 0.2500
0.7500 0.7500 0.7500
```

Calculated values
ΔE to the lowest computed polymorph	0.0	meV per atom

MgRhBr2: relaxed, PBE.

Geometry as POSCAR:
```
MgRhBr2
1.0
6.0111 -0.0183 -0.0115
4.5451 3.9340 -0.0115
4.5451 1.6859 3.5544
Br Mg Rh
2 1 1
Direct
0.0038 0.0038 0.0038
0.4962 0.4962 0.4962
0.2500 0.2500 0.2500
0.7500 0.7500 0.7500
```

Calculated values
ΔE to the lowest computed polymorph	331.5	meV per atom

MgRhBr2: relaxed, PBE.

Geometry as POSCAR:
```
MgRhBr2
1.0
-4.4810 -1.4125 6.6172
-7.4731 -1.9831 2.4661
6.7873 -0.7409 -4.3870
Br Mg Rh
2 1 1
Direct
0.0122 0.0122 0.0000
0.7681 0.2681 0.5000
0.4276 0.4276 0.0000
0.2920 0.7920 0.5000
```

Calculated values
ΔE to the lowest computed polymorph	89.8	meV per atom

MgRhBr2: relaxed, PBE.

Geometry as POSCAR:
```
MgRhBr2
1.0
5.2894 -0.0157 -0.0258
0.4533 5.2699 0.0258
-1.7117 -3.8946 3.1434
Br Mg Rh
2 1 1
Direct
0.0061 0.0061 0.0000
0.4939 0.4939 0.0000
0.7500 0.2500 0.5000
0.2500 0.7500 0.5000
```

Calculated values
ΔE to the lowest computed polymorph	361.2	meV per atom

MgRh2Br: relaxed, PBE.

Geometry as POSCAR:
```
MgRh2Br
1.0
-0.6300 -3.6793 -2.5790
3.3880 -1.7859 2.4325
-2.0776 -1.1043 2.0829
Br Mg Rh
1 1 2
Direct
0.5000 0.0000 0.5000
0.0000 0.5000 0.5000
0.0000 0.0000 0.0000
0.5000 0.5000 0.0000
```

Calculated values
ΔE to the lowest computed polymorph	205.7	meV per atom

Mg4RhBr: relaxed, PBE.

Geometry as POSCAR:
```
Mg4RhBr
1.0
0.0000 3.9907 3.9907
3.9907 0.0000 3.9907
3.9907 3.9907 0.0000
Mg Rh Br
4 1 1
Direct
0.8713 0.3762 0.3762
0.3762 0.3762 0.8713
0.3762 0.8713 0.3762
0.3762 0.3762 0.3762
0.7500 0.7500 0.7500
0.0000 0.0000 0.0000
```

Calculated values
raw total energy	-2.3777	eV per atom

MgRh2Br: relaxed, PBE.

Geometry as POSCAR:
```
MgRh2Br
1.0
3.0391 0.0000 0.0000
0.0000 4.8423 0.0000
0.0000 0.0000 4.4888
Br Mg Rh
1 1 2
Direct
0.5000 0.0000 0.5000
0.0000 0.5000 0.5000
0.0000 0.0000 0.0000
0.5000 0.5000 0.0000
```

Calculated values
ΔE to the lowest computed polymorph	190.0	meV per atom

MgRh2Br: relaxed, PBE.

Geometry as POSCAR:
```
MgRh2Br
1.0
-1.5528 2.8378 -0.4096
0.0568 -0.4339 -3.2217
-6.1204 -3.3005 0.3367
Br Mg Rh
1 1 2
Direct
0.0000 0.0000 0.5219
0.5000 0.5000 0.7754
0.0000 0.0000 0.0179
0.5000 0.5000 0.1848
```

Calculated values
ΔE to the lowest computed polymorph	45.0	meV per atom

MgRhBr2: relaxed, PBE.

Geometry as POSCAR:
```
MgRhBr2
1.0
-1.0150 -8.5078 2.8422
1.5378 -7.2714 5.1237
-1.9791 -6.6245 5.8043
Br Mg Rh
2 1 1
Direct
0.0312 0.0312 0.0312
0.2234 0.2234 0.2234
0.4949 0.4949 0.4949
0.7505 0.7505 0.7505
```

Calculated values
ΔE to the lowest computed polymorph	66.4	meV per atom

MgRhBr4: relaxed, PBE.

Geometry as POSCAR:
```
MgRhBr4
1.0
0.0000 4.3654 4.3654
4.3654 0.0000 4.3654
4.3654 4.3654 0.0000
Mg Rh Br
1 1 4
Direct
0.7500 0.7500 0.7500
0.0000 0.0000 0.0000
0.8750 0.3750 0.3750
0.3750 0.3750 0.8750
0.3750 0.8750 0.3750
0.3750 0.3750 0.3750
```

Calculated values
raw total energy	-1.7869	eV per atom